## ZnRhAu2O (GGA-PBE)

Data for a geometry-optimized ZnRhAu2O structure.

Results
Total magnetic moment: 0.21 μB per atom
SG: P4/mmm
Energy relative to the elements, uncorrected: 0.45 eV/atom
Energy: -3.577 eV per atom

Cell lengths 5.0186, 5.0186, 3.5103 Å; angles 90.00, 90.00, 90.00 degrees
Fractional coordinates of all 5 atoms:
Zn: 0.0000 0.0000 0.0000
Rh: 0.5000 0.5000 0.5000
Au: 0.0000 0.5000 0.0000
Au: 0.5000 0.0000 0.0000
O: 0.0000 0.0000 0.5000